1.
A plane-wave DFT calculation with PBE was carried out for a geometry-optimized Ta4TiMn5 structure.

ρ ... 12.3 Mg/m³
Total magnetic moment ... 0.0 μB per cell
Symmetry ... P4/mmm, No. 123
Energy relative to the elements ... -255 meV per atom
DOS at the Fermi energy ... 7.064 states/eV per cell

Cell: 3.049 3.049 15.213 Å, 90.00 90.00 90.00°
Fractional positions:
1 Ta 0.000 0.000 0.196
2 Ta 0.000 0.000 0.399
3 Ta 0.000 0.000 0.601
4 Ta 0.000 0.000 0.804
5 Ti 0.000 0.000 0.000
6 Mn 0.500 0.500 0.099
7 Mn 0.500 0.500 0.299
8 Mn 0.500 0.500 0.500
9 Mn 0.500 0.500 0.701
10 Mn 0.500 0.500 0.901

---

2.
A plane-wave DFT calculation with PBE was carried out for a geometry-optimized TaTi2Mn3 structure.

ρ ... 8.9 Mg/m³
Total magnetic moment ... 1.1 μB per cell
Symmetry ... P4/mmm, No. 123
Energy relative to the elements ... -253 meV per atom
DOS at the Fermi energy ... 6.388 states/eV per cell

Cell: 3.016 3.016 9.004 Å, 90.00 90.00 90.00°
Each line ends with the local moment (μB).
Fractional positions:
1 Ta 0.500 0.500 0.500  -0.13
2 Ti 0.500 0.500 0.836  -0.24
3 Ti 0.500 0.500 0.164  -0.24
4 Mn 0.000 0.000 0.000  0.94
5 Mn 0.000 0.000 0.670  0.43
6 Mn 0.000 0.000 0.330  0.43

---

3.
A plane-wave DFT calculation with PBE was carried out for a geometry-optimized Ta2TiMn structure.

ρ ... 11.3 Mg/m³
Total magnetic moment ... 0.0 μB per cell
Symmetry ... I-42d, No. 122
Energy relative to the elements ... 464 meV per atom
E above lowest polymorph ... 541 meV per atom
DOS at the Fermi energy ... 6.986 states/eV per cell

Cell: 7.090 7.090 5.703 Å, 51.56 51.56 90.00°
Fractional positions:
1 Mn 0.000 0.000 0.000
2 Mn 0.750 0.250 0.500
3 Ti 0.500 0.500 0.000
4 Ti 0.250 0.750 0.500
5 Ta 0.663 0.125 0.250
6 Ta 0.087 0.625 0.250
7 Ta 0.375 0.337 0.750
8 Ta 0.875 0.913 0.750

---

4.
A plane-wave DFT calculation with PBE was carried out for a geometry-optimized Ta2TiMn structure.

ρ ... 12.3 Mg/m³
Total magnetic moment ... 0.0 μB per cell
Symmetry ... Fm-3m, No. 225
Energy relative to the elements ... -6 meV per atom
E above lowest polymorph ... 71 meV per atom
DOS at the Fermi energy ... 6.010 states/eV per cell

Cell: 4.460 4.460 4.460 Å, 60.00 60.00 60.00°
Fractional positions:
1 Mn 0.500 0.500 0.500
2 Ti 0.000 0.000 0.000
3 Ta 0.250 0.250 0.250
4 Ta 0.750 0.750 0.750

---

5.
A plane-wave DFT calculation with PBE was carried out for a geometry-optimized Ta5TiMn6 structure.

ρ ... 12.5 Mg/m³
Total magnetic moment ... 0.0 μB per cell
Symmetry ... Cmmm, No. 65
Energy relative to the elements ... -262 meV per atom
DOS at the Fermi energy ... 9.401 states/eV per cell

Cell: 4.313 6.094 6.817 Å, 90.00 71.55 90.00°
Fractional positions:
1 Ti 0.000 0.000 0.000
2 Mn 0.834 0.751 0.333
3 Mn 0.834 0.249 0.333
4 Mn 0.500 0.249 0.000
5 Mn 0.500 0.751 0.000
6 Mn 0.166 0.751 0.667
7 Mn 0.166 0.249 0.667
8 Ta 0.666 0.500 0.667
9 Ta 0.335 0.000 0.330
10 Ta 0.000 0.500 0.000
11 Ta 0.665 0.000 0.670
12 Ta 0.334 0.500 0.333

---

6.
A plane-wave DFT calculation with PBE was carried out for a geometry-optimized TaTi2Mn structure.

ρ ... 8.7 Mg/m³
Total magnetic moment ... 0.9 μB per cell
Symmetry ... P4/mmm, No. 123
Energy relative to the elements ... 69 meV per atom
E above lowest polymorph ... 173 meV per atom
DOS at the Fermi energy ... 7.204 states/eV per cell

Cell: 3.121 4.497 4.497 Å, 90.00 90.00 90.00°
Each line ends with the local moment (μB).
Fractional positions:
1 Mn 0.500 0.000 0.000  1.74
2 Ti 0.000 0.000 0.500  -0.33
3 Ti 0.000 0.500 0.000  -0.33
4 Ta 0.500 0.500 0.500  -0.09

---

7.
A plane-wave DFT calculation with PBE was carried out for a geometry-optimized TaTi2Mn structure.

ρ ... 9.0 Mg/m³
Total magnetic moment ... 0.0 μB per cell
Symmetry ... Fm-3m, No. 225
Energy relative to the elements ... 86 meV per atom
E above lowest polymorph ... 190 meV per atom
DOS at the Fermi energy ... 7.390 states/eV per cell

Cell: 4.429 4.429 4.429 Å, 60.00 60.00 60.00°
Fractional positions:
1 Mn 0.000 0.000 0.000
2 Ti 0.250 0.250 0.250
3 Ti 0.750 0.750 0.750
4 Ta 0.500 0.500 0.500

---

8.
A plane-wave DFT calculation with PBE was carried out for a geometry-optimized Ta2TiMn structure.

ρ ... 12.1 Mg/m³
Total magnetic moment ... 0.0 μB per cell
Symmetry ... P4/mmm, No. 123
Energy relative to the elements ... -77 meV per atom
E above lowest polymorph ... 0 meV per atom
DOS at the Fermi energy ... 4.870 states/eV per cell

Cell: 3.087 3.087 6.692 Å, 90.00 90.00 90.00°
Fractional positions:
1 Mn 0.500 0.500 0.000
2 Ti 0.500 0.500 0.500
3 Ta 0.000 0.000 0.773
4 Ta 0.000 0.000 0.227

---

9.
A plane-wave DFT calculation with PBE was carried out for a geometry-optimized Ta2Ti2Mn structure.

ρ ... 10.2 Mg/m³
Total magnetic moment ... 0.0 μB per cell
Symmetry ... C2/m, No. 12
Energy relative to the elements ... 98 meV per atom
DOS at the Fermi energy ... 10.569 states/eV per cell

Cell: 5.183 5.183 7.217 Å, 101.76 101.76 112.30°
Fractional positions:
1 Ta 0.830 0.830 0.595
2 Ta 0.238 0.238 0.936
3 Ta 0.762 0.762 0.064
4 Ta 0.170 0.170 0.405
5 Ti 0.297 0.689 0.304
6 Ti 0.703 0.311 0.696
7 Ti 0.689 0.297 0.304
8 Ti 0.311 0.703 0.696
9 Mn 0.239 0.761 0.000
10 Mn 0.761 0.239 0.000

---

10.
A plane-wave DFT calculation with PBE was carried out for a geometry-optimized TaTi5Mn4 structure.

ρ ... 7.5 Mg/m³
Total magnetic moment ... 2.1 μB per cell
Symmetry ... P4/mmm, No. 123
Energy relative to the elements ... -186 meV per atom
DOS at the Fermi energy ... 11.457 states/eV per cell

Cell: 2.995 2.995 15.825 Å, 90.00 90.00 90.00°
Each line ends with the local moment (μB).
Fractional positions:
1 Ta 0.000 0.000 0.000  0.00
2 Ti 0.500 0.500 0.127  -0.10
3 Ti 0.500 0.500 0.311  -0.28
4 Ti 0.500 0.500 0.500  -0.37
5 Ti 0.500 0.500 0.689  -0.28
6 Ti 0.500 0.500 0.873  -0.10
7 Mn 0.000 0.000 0.215  0.52
8 Mn 0.000 0.000 0.406  1.12
9 Mn 0.000 0.000 0.594  1.12
10 Mn 0.000 0.000 0.785  0.52

---

11.
A plane-wave DFT calculation with PBE was carried out for a geometry-optimized TaTi2Mn structure.

ρ ... 8.8 Mg/m³
Total magnetic moment ... 0.0 μB per cell
Symmetry ... I4/mmm, No. 139
Energy relative to the elements ... -94 meV per atom
E above lowest polymorph ... 10 meV per atom
DOS at the Fermi energy ... 10.112 states/eV per cell

Cell: 4.306 4.306 7.374 Å, 107.01 107.01 89.97°
Fractional positions:
1 Ta 0.361 0.361 0.221
2 Ta 0.639 0.639 0.779
3 Ti 0.860 0.860 0.219
4 Ti 0.140 0.140 0.781
5 Ti 0.500 0.000 0.500
6 Ti 0.000 0.500 0.500
7 Mn 0.250 0.750 0.000
8 Mn 0.750 0.250 0.000

---

12.
A plane-wave DFT calculation with PBE was carried out for a geometry-optimized TaTiMn3 structure.

ρ ... 8.5 Mg/m³
Total magnetic moment ... 4.0 μB per cell
Symmetry ... Pm-3m, No. 221
Energy relative to the elements ... 1042 meV per atom
E above lowest polymorph ... 0 meV per atom
DOS at the Fermi energy ... 3.792 states/eV per cell

Cell: 4.255 4.255 4.255 Å, 90.00 90.00 90.00°
Each line ends with the local moment (μB).
Fractional positions:
1 Mn 0.000 0.500 0.000  1.81
2 Mn 0.000 0.000 0.500  1.76
3 Mn 0.500 0.000 0.000  1.78
4 Ti 0.000 0.000 0.000  -0.45
5 Ta 0.500 0.500 0.500  -0.70

---

13.
A plane-wave DFT calculation with PBE was carried out for a geometry-optimized TaTi4Mn structure.

ρ ... 7.4 Mg/m³
Total magnetic moment ... 0.0 μB per cell
Symmetry ... C2/m, No. 12
Energy relative to the elements ... -70 meV per atom
DOS at the Fermi energy ... 5.455 states/eV per cell

Cell: 4.473 5.206 5.328 Å, 62.64 65.18 64.56°
Fractional positions:
1 Ta 0.000 0.500 0.500
2 Ti 0.648 0.011 0.692
3 Ti 0.352 0.989 0.308
4 Ti 0.703 0.438 0.155
5 Ti 0.297 0.562 0.845
6 Mn 0.000 0.000 0.000

---

14.
A plane-wave DFT calculation with PBE was carried out for a geometry-optimized Ta2TiMn structure.

ρ ... 12.2 Mg/m³
Total magnetic moment ... 0.0 μB per cell
Symmetry ... P4/mmm, No. 123
Energy relative to the elements ... 6 meV per atom
E above lowest polymorph ... 83 meV per atom
DOS at the Fermi energy ... 7.619 states/eV per cell

Cell: 3.143 4.479 4.479 Å, 90.00 90.00 90.00°
Fractional positions:
1 Mn 0.500 0.500 0.500
2 Ti 0.500 0.000 0.000
3 Ta 0.000 0.000 0.500
4 Ta 0.000 0.500 0.000

---

15.
A plane-wave DFT calculation with PBE was carried out for a geometry-optimized TaTiMn4 structure.

ρ ... 9.6 Mg/m³
Total magnetic moment ... 2.9 μB per cell
Symmetry ... F-43m, No. 216
Energy relative to the elements ... -229 meV per atom
DOS at the Fermi energy ... 7.509 states/eV per cell

Cell: 4.795 4.795 4.795 Å, 60.00 60.00 60.00°
Each line ends with the local moment (μB).
Fractional positions:
1 Mn 0.625 0.625 0.124  0.82
2 Mn 0.625 0.124 0.625  0.82
3 Mn 0.625 0.625 0.625  0.82
4 Mn 0.124 0.625 0.625  0.82
5 Ti 0.000 0.000 0.000  -0.18
6 Ta 0.250 0.250 0.250  -0.15

---

16.
A plane-wave DFT calculation with PBE was carried out for a geometry-optimized TaTi2Mn2 structure.

ρ ... 8.7 Mg/m³
Total magnetic moment ... 0.0 μB per cell
Symmetry ... P4/mbm, No. 127
Energy relative to the elements ... 50 meV per atom
E above lowest polymorph ... 259 meV per atom
DOS at the Fermi energy ... 13.954 states/eV per cell

Cell: 6.869 6.869 3.124 Å, 90.00 90.00 90.00°
Fractional positions:
1 Mn 0.355 0.855 0.000
2 Mn 0.855 0.645 0.000
3 Mn 0.645 0.145 0.000
4 Mn 0.145 0.355 0.000
5 Ti 0.155 0.655 0.500
6 Ti 0.655 0.845 0.500
7 Ti 0.845 0.345 0.500
8 Ti 0.345 0.155 0.500
9 Ta 0.000 0.000 0.000
10 Ta 0.500 0.500 0.000

---

17.
A plane-wave DFT calculation with PBE was carried out for a geometry-optimized TaTi6Mn2 structure.

ρ ... 6.9 Mg/m³
Total magnetic moment ... 0.0 μB per cell
Symmetry ... C2/m, No. 12
Energy relative to the elements ... -123 meV per atom
DOS at the Fermi energy ... 9.972 states/eV per cell

Cell: 3.053 5.276 9.445 Å, 74.85 80.70 73.18°
Fractional positions:
1 Ta 0.000 0.000 0.000
2 Ti 0.685 0.506 0.123
3 Ti 0.315 0.494 0.877
4 Ti 0.318 0.785 0.578
5 Ti 0.982 0.709 0.328
6 Ti 0.018 0.291 0.672
7 Ti 0.682 0.215 0.422
8 Mn 0.341 0.103 0.215
9 Mn 0.659 0.897 0.785

---

18.
A plane-wave DFT calculation with PBE was carried out for a geometry-optimized TaTi3Mn2 structure.

ρ ... 8.2 Mg/m³
Total magnetic moment ... 0.4 μB per cell
Symmetry ... P4/mmm, No. 123
Energy relative to the elements ... -152 meV per atom
DOS at the Fermi energy ... 6.621 states/eV per cell

Cell: 2.999 2.999 9.799 Å, 90.00 90.00 90.00°
Each line ends with the local moment (μB).
Fractional positions:
1 Ta 0.500 0.500 0.500  0.01
2 Ti 0.000 0.000 0.000  -0.14
3 Ti 0.000 0.000 0.703  -0.08
4 Ti 0.000 0.000 0.297  -0.08
5 Mn 0.500 0.500 0.845  0.38
6 Mn 0.500 0.500 0.155  0.38

---

19.
A plane-wave DFT calculation with PBE was carried out for a geometry-optimized TaTiMnW structure.

ρ ... 12.7 Mg/m³
Total magnetic moment ... 0.0 μB per cell
Symmetry ... F-43m, No. 216
Energy relative to the elements ... -79 meV per atom
DOS at the Fermi energy ... 4.582 states/eV per cell

Cell: 4.425 4.425 4.425 Å, 60.00 60.00 60.00°
Fractional positions:
1 Mn 0.000 0.000 0.000
2 Ti 0.250 0.250 0.250
3 W 0.500 0.500 0.500
4 Ta 0.750 0.750 0.750

---

20.
A plane-wave DFT calculation with PBE was carried out for a geometry-optimized TaMn4Tl structure.

ρ ... 12.2 Mg/m³
Total magnetic moment ... 3.7 μB per cell
Symmetry ... F-43m, No. 216
Energy relative to the elements ... 202 meV per atom
DOS at the Fermi energy ... 5.563 states/eV per cell

Cell: 4.889 4.889 4.889 Å, 60.00 60.00 60.00°
Each line ends with the local moment (μB).
Fractional positions:
1 Ta 0.250 0.250 0.250  -0.34
2 Mn 0.626 0.626 0.122  1.04
3 Mn 0.626 0.122 0.626  1.04
4 Mn 0.626 0.626 0.626  1.04
5 Mn 0.122 0.626 0.626  1.04
6 Tl 0.000 0.000 0.000  -0.04